[1]
This record from the Alexandria database describes a relaxed structure of CsNa2Cd. The functional is PBE-GGA.

Unit cell a=13.1124 b=13.1124 c=13.1124 alpha=155.60 beta=155.60 gamma=34.78
Sites, in units of the cell vectors:
Cs  0.0000  0.0000  0.0000
Cs  0.7500  0.2500  0.5000
Na  0.2091  0.6250  0.0841
Na  0.3750  0.4591  0.5841
Na  0.5409  0.1250  0.9159
Na  0.8750  0.7909  0.4159
Cd  0.2500  0.7500  0.5000
Cd  0.5000  0.5000  0.0000

[2]
This record from the Alexandria database describes a relaxed structure of Cs2NaCd4. The functional is PBE-GGA.

Unit cell a=10.6654 b=10.6654 c=10.6654 alpha=147.78 beta=147.78 gamma=46.21
Sites, in units of the cell vectors:
Cs  0.1400  0.1400  0.0000
Cs  0.8600  0.8600  0.0000
Na  0.5000  0.5000  0.0000
Cd  0.0000  0.5000  0.5000
Cd  0.3448  0.3448  0.0000
Cd  0.5000  0.0000  0.5000
Cd  0.6552  0.6552  0.0000

[3]
This record from the Alexandria database describes a relaxed structure of CsNaCd10. The functional is PBE-GGA.

Unit cell a=4.7612 b=6.4946 c=10.9789 alpha=90.00 beta=90.00 gamma=90.00
Sites, in units of the cell vectors:
Cs  0.0000  0.0000  0.0000
Na  0.0000  0.5000  0.5000
Cd  0.0000  0.0000  0.3424
Cd  0.0000  0.0000  0.6576
Cd  0.0000  0.5000  0.1808
Cd  0.0000  0.5000  0.8192
Cd  0.5000  0.0000  0.5000
Cd  0.5000  0.2663  0.2724
Cd  0.5000  0.2663  0.7276
Cd  0.5000  0.5000  0.0000
Cd  0.5000  0.7337  0.2724
Cd  0.5000  0.7337  0.7276

[4]
This record from the Alexandria database describes a relaxed structure of CsNa6Cd8. The functional is PBE-GGA.

Unit cell a=8.1635 b=8.1635 c=8.1635 alpha=66.43 beta=66.43 gamma=66.43
Sites, in units of the cell vectors:
Cs  0.0000  0.0000  0.0000
Na  0.1548  0.3723  0.5974
Na  0.3723  0.5974  0.1548
Na  0.4026  0.8452  0.6277
Na  0.5974  0.1548  0.3723
Na  0.6277  0.4026  0.8452
Na  0.8452  0.6277  0.4026
Cd  0.1286  0.8117  0.4695
Cd  0.1883  0.5305  0.8714
Cd  0.2292  0.2292  0.2292
Cd  0.4695  0.1286  0.8117
Cd  0.5305  0.8714  0.1883
Cd  0.7708  0.7708  0.7708
Cd  0.8117  0.4695  0.1286
Cd  0.8714  0.1883  0.5305

[5]
This record from the Alexandria database describes a relaxed structure of CsNaCd. The functional is PBE-GGA.

Calculated values
The energy above the most stable polymorph in this dataset is 100.1 meV/atom.

Unit cell a=6.1555 b=6.1555 c=6.1555 alpha=60.00 beta=60.00 gamma=60.00
Sites, in units of the cell vectors:
Cs  0.0000  0.0000  0.0000
Na  0.5000  0.5000  0.5000
Cd  0.7500  0.7500  0.7500

[6]
This record from the Alexandria database describes a relaxed structure of CsNa2Cd. The functional is PBE-GGA.

Unit cell a=11.1892 b=11.1892 c=11.1892 alpha=25.49 beta=25.49 gamma=25.49
Sites, in units of the cell vectors:
Cs  0.0000  0.0000  0.0000
Na  0.1255  0.1255  0.1255
Na  0.8745  0.8745  0.8745
Cd  0.5000  0.5000  0.5000

[7]
This record from the Alexandria database describes a relaxed structure of CsNa2Cd. The functional is PBE-GGA.

Unit cell a=7.9096 b=9.9750 c=11.9360 alpha=90.00 beta=130.12 gamma=90.00
Sites, in units of the cell vectors:
Cs  0.1252  0.0238  0.2535
Cs  0.1252  0.4762  0.7535
Cs  0.8748  0.5238  0.2465
Cs  0.8748  0.9762  0.7465
Na  0.1363  0.6658  0.0728
Na  0.1363  0.8342  0.5728
Na  0.4090  0.1405  0.7520
Na  0.4090  0.3595  0.2520
Na  0.5910  0.6405  0.7480
Na  0.5910  0.8595  0.2480
Na  0.8637  0.1658  0.4272
Na  0.8637  0.3342  0.9272
Cd  0.4816  0.1377  0.0604
Cd  0.4816  0.3623  0.5604
Cd  0.5184  0.6377  0.4396
Cd  0.5184  0.8623  0.9396

[8]
This record from the Alexandria database describes a relaxed structure of Cs2Na4Cd. The functional is PBE-GGA.

Unit cell a=11.5022 b=11.5022 c=11.5022 alpha=148.89 beta=148.89 gamma=44.57
Sites, in units of the cell vectors:
Cs  0.1481  0.1481  0.0000
Cs  0.8519  0.8519  0.0000
Na  0.0000  0.5000  0.5000
Na  0.3569  0.3569  0.0000
Na  0.5000  0.0000  0.5000
Na  0.6431  0.6431  0.0000
Cd  0.5000  0.5000  0.0000

[9]
This record from the Alexandria database describes a relaxed structure of Cs3Na8Cd3. The functional is PBE-GGA.

Unit cell a=10.9798 b=10.9798 c=10.9798 alpha=149.29 beta=106.77 gamma=81.47
Sites, in units of the cell vectors:
Cs  0.0000  0.0000  0.0000
Cs  0.3376  0.3376  0.0000
Cs  0.6624  0.6624  0.0000
Na  0.0248  0.6816  0.3432
Na  0.1805  0.8962  0.2843
Na  0.3384  0.6816  0.6568
Na  0.3881  0.1038  0.2843
Na  0.6119  0.8962  0.7157
Na  0.6616  0.3184  0.3432
Na  0.8195  0.1038  0.7157
Na  0.9752  0.3184  0.6568
Cd  0.2619  0.5000  0.7619
Cd  0.5000  0.0000  0.5000
Cd  0.7381  0.5000  0.2381

[10]
This record from the Alexandria database describes a relaxed structure of CsNaCd. The functional is PBE-GGA.

Calculated values
The energy above the most stable polymorph in this dataset is 0.0 meV/atom.

Unit cell a=10.0087 b=10.0087 c=7.9373 alpha=90.00 beta=90.00 gamma=133.61
Sites, in units of the cell vectors:
Cs  0.1749  0.8251  0.9997
Cs  0.3251  0.6749  0.4997
Cs  0.6749  0.3251  0.5003
Cs  0.8251  0.1749  0.0003
Na  0.2502  0.2498  0.2500
Na  0.2498  0.2502  0.7500
Na  0.7502  0.7498  0.2500
Na  0.7498  0.7502  0.7500
Cd  0.0918  0.9082  0.5004
Cd  0.4082  0.5918  0.0004
Cd  0.5918  0.4082  0.9996
Cd  0.9082  0.0918  0.4996

[11]
This record from the Alexandria database describes a relaxed structure of CsNa2Cd9. The functional is PBE-GGA.

Unit cell a=10.5576 b=10.5576 c=10.5576 alpha=34.06 beta=34.06 gamma=34.06
Sites, in units of the cell vectors:
Cs  0.0000  0.0000  0.0000
Na  0.1450  0.1450  0.1450
Na  0.8550  0.8550  0.8550
Cd  0.0797  0.5904  0.5904
Cd  0.3345  0.3345  0.3345
Cd  0.4096  0.4096  0.9203
Cd  0.4096  0.9203  0.4096
Cd  0.5000  0.5000  0.5000
Cd  0.5904  0.0797  0.5904
Cd  0.5904  0.5904  0.0797
Cd  0.6655  0.6655  0.6655
Cd  0.9203  0.4096  0.4096

[12]
This record from the Alexandria database describes a relaxed structure of CsNa12Cd6. The functional is PBE-GGA.

Unit cell a=9.0736 b=9.0736 c=9.0736 alpha=103.86 beta=103.86 gamma=103.86
Sites, in units of the cell vectors:
Cs  0.0000  0.0000  0.0000
Na  0.1166  0.5000  0.8834
Na  0.1166  0.8834  0.5000
Na  0.1578  0.4302  0.4302
Na  0.4302  0.1578  0.4302
Na  0.4302  0.4302  0.1578
Na  0.5000  0.1166  0.8834
Na  0.5000  0.8834  0.1166
Na  0.5698  0.5698  0.8422
Na  0.5698  0.8422  0.5698
Na  0.8422  0.5698  0.5698
Na  0.8834  0.1166  0.5000
Na  0.8834  0.5000  0.1166
Cd  0.2589  0.2589  0.7062
Cd  0.2589  0.7062  0.2589
Cd  0.2938  0.7411  0.7411
Cd  0.7062  0.2589  0.2589
Cd  0.7411  0.2938  0.7411
Cd  0.7411  0.7411  0.2938

Short version: spin magnetization = 0.0; 0.0; 0.0; 0.0; 0.0; 0.0; 0.0; 0.0; 0.0; 0.0; 0.0; 0.0 μB/cell, in the order given.
Short version: formation enthalpy at 0 K = 0.0935; 0.1166; -0.0299; -0.0207; 0.0650; 0.1459; 0.0126; 0.0589; 0.0104; -0.0351; -0.0680; 0.0007 eV/atom, in the order given.
Short version: VASP energy = -1.008; -0.839; -0.974; -1.093; -0.964; -0.956; -1.089; -1.069; -1.122; -1.064; -1.045; -1.166 eV per atom, in the order given.